Record 1
# Hg3PtPb

A relaxed Hg3PtPb crystal (GGA-PBE, Alexandria via LeMat-Bulk).

abc: 5.253 5.253 5.253
angles: 90.00 90.00 90.00
Positions (direct):
Hg 0.000 0.000 0.500
Hg 0.000 0.500 0.000
Hg 0.500 0.000 0.000
Pt 0.000 0.000 0.000
Pb 0.500 0.500 0.500

Properties
Magnetization ... 0.00 μB per formula unit
Energy above the lowest structure with this stoichiometry ... 0.000 eV per atom
Symmetry ... Pm-3m
Calculated volume ... 145.0 Å³ per cell
Energy ... -1.998 eV/atom
Density ... 11.501 g/cm3

=====

Record 2
# Ca2PmPrAu4

A relaxed Ca2PmPrAu4 crystal (GGA-PBE, Alexandria via LeMat-Bulk).

abc: 8.993 8.993 8.993
angles: 33.58 33.58 33.58
Positions (direct):
Ca 0.250 0.250 0.250
Ca 0.750 0.750 0.750
Pm 0.000 0.000 0.000
Pr 0.500 0.500 0.500
Au 0.124 0.124 0.124
Au 0.374 0.374 0.374
Au 0.626 0.626 0.626
Au 0.876 0.876 0.876

Properties
Magnetization ... 0.00 μB per formula unit
Symmetry ... R-3m
Calculated volume ... 198.2 Å³ per cell
Energy ... -4.134 eV/atom
Density ... 9.668 g/cm3

=====

Record 3
# Er6Tl3Co

A relaxed Er6Tl3Co crystal (GGA-PBE, Alexandria via LeMat-Bulk).

abc: 6.657 6.657 7.325
angles: 101.32 101.32 63.16
Positions (direct):
Er 0.144 0.646 0.650
Er 0.171 0.171 0.840
Er 0.354 0.856 0.350
Er 0.646 0.144 0.650
Er 0.829 0.829 0.160
Er 0.856 0.354 0.350
Tl 0.324 0.324 0.269
Tl 0.500 0.500 0.000
Tl 0.676 0.676 0.731
Co 0.000 0.000 0.500

Properties
Magnetization ... 0.00 μB per formula unit
Symmetry ... C2/m
Calculated volume ... 281.8 Å³ per cell
Energy ... -4.312 eV/atom
Density ... 9.873 g/cm3

=====

Record 4
# Na2Ti3ZnO8

A relaxed Na2Ti3ZnO8 crystal (GGA-PBE, Alexandria via LeMat-Bulk).

abc: 6.643 6.643 6.643
angles: 54.12 54.12 54.12
Positions (direct):
Na 0.000 0.000 0.000
Na 0.365 0.365 0.365
Ti 0.366 0.366 0.872
Ti 0.366 0.872 0.366
Ti 0.872 0.366 0.366
Zn 0.795 0.795 0.795
O 0.106 0.106 0.561
O 0.106 0.561 0.106
O 0.135 0.135 0.135
O 0.163 0.619 0.619
O 0.561 0.106 0.106
O 0.591 0.591 0.591
O 0.619 0.163 0.619
O 0.619 0.619 0.163

Properties
Magnetization ... 0.00 μB per formula unit
Symmetry ... R3m
Calculated volume ... 178.8 Å³ per cell
Energy relative to the elements, uncorrected ... -2523 meV/atom
Energy ... -7.327 eV/atom
Density ... 3.557 g/cm3

=====

Record 5
# ZnPPt

A relaxed ZnPPt crystal (GGA-PBE, Alexandria via LeMat-Bulk).

abc: 5.769 3.461 9.686
angles: 90.00 90.00 90.00
Positions (direct):
Zn 0.127 0.250 0.195
Zn 0.373 0.750 0.695
Zn 0.627 0.250 0.305
Zn 0.873 0.750 0.805
P 0.063 0.750 0.383
P 0.437 0.250 0.883
P 0.563 0.750 0.117
P 0.937 0.250 0.617
Pt 0.208 0.750 0.988
Pt 0.292 0.250 0.488
Pt 0.708 0.750 0.512
Pt 0.792 0.250 0.012

Properties
Magnetization ... 0.00 μB per formula unit
Energy above the lowest structure with this stoichiometry ... 0.071 eV per atom
Symmetry ... Pnma
Calculated volume ... 193.4 Å³ per cell
Energy ... -4.494 eV/atom
Density ... 10.009 g/cm3

=====

Record 6
# BaLa2SnN

A relaxed BaLa2SnN crystal (GGA-PBE, Alexandria via LeMat-Bulk).

abc: 5.124 5.124 5.552
angles: 90.00 90.00 90.00
Positions (direct):
Ba 0.000 0.000 0.000
La 0.000 0.500 0.500
La 0.500 0.000 0.500
Sn 0.500 0.500 0.000
N 0.000 0.000 0.500

Properties
Magnetization ... 0.00 μB per formula unit
Symmetry ... P4/mmm
Calculated volume ... 145.8 Å³ per cell
Energy relative to the elements, uncorrected ... -824 meV/atom
Energy ... -5.645 eV/atom
Density ... 6.241 g/cm3

=====

Record 7
# InGaSbS

A relaxed InGaSbS crystal (GGA-PBE, Alexandria via LeMat-Bulk).

abc: 3.730 3.730 9.671
angles: 90.00 90.00 120.00
Positions (direct):
In 0.000 0.000 0.000
Ga 0.000 0.000 0.726
Sb 0.333 0.667 0.201
S 0.667 0.333 0.617

Properties
Magnetization ... 0.00 μB per formula unit
Symmetry ... P3m1
Calculated volume ... 116.6 Å³ per cell
Energy relative to the elements, uncorrected ... -175 meV/atom
Energy ... -3.678 eV/atom
Density ... 4.820 g/cm3

=====

Record 8
# Hg2OsC

A relaxed Hg2OsC crystal (GGA-PBE, Alexandria via LeMat-Bulk).

abc: 6.637 6.637 6.637
angles: 94.98 94.98 145.71
Positions (direct):
Hg 0.375 0.237 0.362
Hg 0.763 0.125 0.138
Hg 0.875 0.013 0.638
Hg 0.987 0.625 0.862
Os 0.250 0.750 0.500
Os 0.500 0.500 0.000
C 0.000 0.000 0.000
C 0.750 0.250 0.500

Properties
Magnetization ... 0.00 μB per formula unit
Symmetry ... I-42d
Calculated volume ... 157.3 Å³ per cell
Energy ... -4.058 eV/atom
Density ... 12.736 g/cm3

=====

Record 9
# TaTe2Mo

A relaxed TaTe2Mo crystal (GGA-PBE, Alexandria via LeMat-Bulk).

abc: 5.449 5.449 3.604
angles: 105.83 105.83 114.12
Positions (direct):
Ta 0.000 0.000 0.000
Te 0.000 0.500 0.500
Te 0.500 0.000 0.500
Mo 0.500 0.500 0.000

Properties
Magnetization ... 0.00 μB per formula unit
Energy above the lowest structure with this stoichiometry ... 0.886 eV per atom
Symmetry ... C2/m
Calculated volume ... 84.5 Å³ per cell
Energy relative to the elements, uncorrected ... 703 meV/atom
Energy ... -6.539 eV/atom
Density ... 10.458 g/cm3

=====

Record 10
# Rb2HfAlS5

A relaxed Rb2HfAlS5 crystal (GGA-PBE, Alexandria via LeMat-Bulk).

abc: 10.118 10.118 14.261
angles: 90.00 90.00 159.00
Positions (direct):
Rb 0.126 0.874 0.500
Rb 0.130 0.870 0.126
Rb 0.870 0.130 0.626
Rb 0.874 0.126 0.000
Hf 0.209 0.791 0.836
Hf 0.791 0.209 0.336
Al 0.425 0.575 0.248
Al 0.575 0.425 0.748
S 0.068 0.932 0.843
S 0.296 0.704 0.455
S 0.313 0.687 0.208
S 0.329 0.671 0.815
S 0.488 0.512 0.120
S 0.512 0.488 0.620
S 0.671 0.329 0.315
S 0.687 0.313 0.708
S 0.704 0.296 0.955
S 0.932 0.068 0.343

Properties
Magnetization ... 0.77 μB per formula unit
Symmetry ... Cmc2_1
Calculated volume ... 523.2 Å³ per cell
Energy relative to the elements, uncorrected ... -1217 meV/atom
Energy ... -5.247 eV/atom
Density ... 3.407 g/cm3

=====

Record 11
# Nd2Dy3HoTm6

A relaxed Nd2Dy3HoTm6 crystal (GGA-PBE, Alexandria via LeMat-Bulk).

abc: 6.127 6.127 11.673
angles: 95.00 95.00 119.96
Positions (direct):
Nd 0.167 0.833 0.000
Nd 0.833 0.167 0.000
Dy 0.000 0.000 0.500
Dy 0.333 0.667 0.500
Dy 0.667 0.333 0.500
Ho 0.500 0.500 0.000
Tm 0.083 0.415 0.748
Tm 0.252 0.252 0.253
Tm 0.415 0.083 0.748
Tm 0.585 0.917 0.252
Tm 0.748 0.748 0.747
Tm 0.917 0.585 0.252

Properties
Magnetization ... 0.00 μB per formula unit
Symmetry ... C2/m
Calculated volume ... 373.8 Å³ per cell
Energy ... -4.541 eV/atom
Density ... 8.682 g/cm3

=====

Record 12
# Ba2AlHg4

A relaxed Ba2AlHg4 crystal (GGA-PBE, Alexandria via LeMat-Bulk).

abc: 9.729 9.729 9.729
angles: 149.05 149.05 44.34
Positions (direct):
Ba 0.147 0.147 0.000
Ba 0.853 0.853 0.000
Al 0.500 0.500 0.000
Hg 0.000 0.500 0.500
Hg 0.341 0.341 0.000
Hg 0.500 0.000 0.500
Hg 0.659 0.659 0.000

Properties
Magnetization ... 0.00 μB per formula unit
Symmetry ... I4/mmm
Calculated volume ... 242.9 Å³ per cell
Energy ... -1.570 eV/atom
Density ... 7.547 g/cm3